The following is a DFT calculation (PBE) of a relaxed Y2Ru crystal.

Results
The calculation puts the total energy at -7.70 eV/atom. As for the density of states at the Fermi level: 1.1 states/eV/f.u. As for the symmetry: P-62m. Its formation energy is -0.295 eV/atom.

Geometry as extended XYZ:
```
9
Lattice="7.685 0.000 0.000 -3.843 6.656 0.000 0.000 0.000 4.237" Properties=species:S:1:pos:R:3 pbc="T T T"
Y -0.987 1.710 0.000
Y -2.262 3.917 2.118
Y 1.974 0.000 0.000
Y 1.581 2.738 2.118
Y 4.523 0.000 2.118
Y 2.855 4.946 0.000
Ru 0.000 0.000 2.118
Ru 0.000 4.437 0.000
Ru 3.843 2.219 0.000
```


The following is a DFT calculation (PBE) of a relaxed TmPaCuRu crystal.

Results
The calculation puts the total energy at -7.07 eV/atom. As for the density of states at the Fermi level: 3.9 states/eV/f.u. As for the symmetry: F-43m. Its formation energy is -0.238 eV/atom.

Geometry as extended XYZ:
```
4
Lattice="0.000 3.418 3.418 3.418 0.000 3.418 3.418 3.418 0.000" Properties=species:S:1:pos:R:3 pbc="T T T"
Tm 0.000 0.000 0.000
Pa 3.418 3.418 3.418
Cu 5.127 5.127 5.127
Ru 1.709 1.709 1.709
```


The following is a DFT calculation (PBE) of a relaxed RbLiMg14O15 crystal.

Results
The calculation puts the total energy at -5.59 eV/atom. The calculation puts the formation energy (no corrections) at -73.84 eV per formula unit. As for the symmetry: Pmm2.

Geometry as extended XYZ:
```
31
Lattice="4.204 0.000 0.000 0.000 8.256 0.000 0.000 0.000 10.370" Properties=species:S:1:pos:R:3 pbc="T T T"
Rb 0.000 0.000 0.000
Li 0.000 4.128 5.867
Mg 0.000 0.000 5.593
Mg 0.000 1.912 3.365
Mg 0.000 2.128 7.690
Mg 0.000 4.128 0.333
Mg 0.000 6.128 7.690
Mg 0.000 6.344 3.365
Mg 2.102 0.000 3.372
Mg 2.102 0.000 7.630
Mg 2.102 2.136 1.296
Mg 2.102 2.145 5.673
Mg 2.102 4.128 3.680
Mg 2.102 4.128 8.503
Mg 2.102 6.111 5.673
Mg 2.102 6.120 1.296
O 0.000 0.000 3.587
O 0.000 0.000 7.672
O 0.000 2.130 5.576
O 0.000 2.469 1.443
O 0.000 4.128 8.395
O 0.000 5.786 1.443
O 0.000 6.126 5.576
O 2.102 0.000 1.385
O 2.102 0.000 5.570
O 2.102 2.058 7.853
O 2.102 2.215 3.405
O 2.102 4.128 0.232
O 2.102 4.128 5.593
O 2.102 6.041 3.405
O 2.102 6.197 7.853
```


The following is a DFT calculation (PBE) of a relaxed RbYFe2 crystal.

Results
The calculation puts the total energy at -4.93 eV/atom. As for the density of states at the Fermi level: 6.2 states/eV/f.u. As for the symmetry: I4_1/amd. Its formation energy is 1.161 eV/atom.

Geometry as extended XYZ:
```
8
Lattice="-2.520 2.520 9.632 2.520 -2.520 9.632 2.520 2.520 -9.632" Properties=species:S:1:pos:R:3 pbc="T T T"
Rb 2.520 1.260 2.408
Rb 0.000 1.260 7.224
Y 2.520 -1.260 7.224
Y 0.000 3.780 2.408
Fe 0.000 0.000 0.000
Fe 1.260 1.260 -4.816
Fe 1.260 -1.260 4.816
Fe 0.000 2.520 0.000
```


The following is a DFT calculation (PBE) of a relaxed CaHfMg2Ag crystal.

Results
The calculation puts the total energy at -2.12 eV/atom. As for the density of states at the Fermi level: 5.2 states/eV/f.u. As for the symmetry: P4/mmm. Its formation energy is 1.475 eV/atom.

Geometry as extended XYZ:
```
5
Lattice="5.451 0.000 0.000 0.000 5.451 0.000 0.000 0.000 5.255" Properties=species:S:1:pos:R:3 pbc="T T T"
Ca 0.000 0.000 0.000
Hf 0.000 0.000 2.627
Mg 0.000 2.725 0.000
Mg 2.725 0.000 0.000
Ag 2.725 2.725 2.627
```


The following is a DFT calculation (PBE) of a relaxed Zr2SnPd crystal.

Results
The calculation puts the total energy at -7.08 eV/atom. As for the density of states at the Fermi level: 2.7 states/eV/f.u. As for the symmetry: P4/mmm. Its formation energy is -0.504 eV/atom.

Geometry as extended XYZ:
```
4
Lattice="3.152 0.000 0.000 0.000 3.152 0.000 0.000 0.000 8.219" Properties=species:S:1:pos:R:3 pbc="T T T"
Zr 0.000 0.000 1.872
Zr 0.000 0.000 6.347
Sn 1.576 1.576 4.110
Pd 1.576 1.576 0.000
```


The following is a DFT calculation (PBE) of a relaxed TlCrBr2 crystal.

Results
The calculation puts the total energy at -4.21 eV/atom. As for the density of states at the Fermi level: 6.7 states/eV/f.u. The calculation puts the formation energy (no corrections) at -1.50 eV per formula unit. As for the symmetry: R-3m.

Geometry as extended XYZ:
```
4
Lattice="1.897 1.095 9.804 -1.897 1.095 9.804 0.000 -2.191 9.804" Properties=species:S:1:pos:R:3 pbc="T T T"
Tl 0.000 0.000 0.000
Cr 0.000 0.000 14.707
Br 0.000 0.000 3.348
Br 0.000 0.000 26.065
```


The following is a DFT calculation (PBE) of a relaxed KTcSb2 crystal.

Results
The calculation puts the total energy at -4.24 eV/atom. As for the density of states at the Fermi level: 2.7 states/eV/f.u. The calculation puts the formation energy (no corrections) at 2.74 eV per formula unit. As for the symmetry: I-4m2.

Geometry as extended XYZ:
```
4
Lattice="-2.221 2.221 5.065 2.221 -2.221 5.065 2.221 2.221 -5.065" Properties=species:S:1:pos:R:3 pbc="T T T"
K 0.000 0.000 0.000
Tc 0.000 2.221 2.532
Sb 2.221 0.000 2.532
Sb 0.000 0.000 5.065
```


The following is a DFT calculation (PBE) of a relaxed AgP2Cl crystal.

Results
The calculation puts the total energy at -3.24 eV/atom. As for the density of states at the Fermi level: 2.1 states/eV/f.u. The calculation puts the formation energy (no corrections) at 2.55 eV per formula unit. As for the symmetry: Cmmm.

Geometry as extended XYZ:
```
4
Lattice="1.480 -2.591 0.000 1.480 2.591 0.000 0.000 0.000 8.991" Properties=species:S:1:pos:R:3 pbc="T T T"
Ag 0.000 0.000 0.000
P 1.480 0.000 2.246
P 1.480 0.000 6.745
Cl 0.000 0.000 4.496
```


The following is a DFT calculation (PBE) of a relaxed Al2Cu2Si crystal.

Results
The calculation puts the total energy at -4.18 eV/atom. As for the density of states at the Fermi level: 1.6 states/eV/f.u. The calculation puts the formation energy (no corrections) at 0.21 eV per formula unit. As for the symmetry: P4/mbm.

Geometry as extended XYZ:
```
10
Lattice="7.259 0.000 0.000 0.000 7.259 0.000 0.000 0.000 2.704" Properties=species:S:1:pos:R:3 pbc="T T T"
Al 1.244 2.385 0.000
Al 2.385 6.014 0.000
Al 4.873 1.244 0.000
Al 6.014 4.873 0.000
Cu 0.916 4.545 1.352
Cu 2.714 0.916 1.352
Cu 4.545 6.343 1.352
Cu 6.343 2.714 1.352
Si 0.000 0.000 1.352
Si 3.629 3.629 1.352
```


The following is a DFT calculation (PBE) of a relaxed DyTh2Al crystal.

Results
The calculation puts the total energy at -5.93 eV/atom. As for the density of states at the Fermi level: 4.1 states/eV/f.u. As for the symmetry: P4/mmm. Its formation energy is -0.131 eV/atom.

Geometry as extended XYZ:
```
4
Lattice="4.793 0.000 0.000 0.000 4.793 0.000 0.000 0.000 4.895" Properties=species:S:1:pos:R:3 pbc="T T T"
Dy 0.000 0.000 0.000
Th 0.000 2.396 2.447
Th 2.396 0.000 2.447
Al 2.396 2.396 0.000
```


The following is a DFT calculation (PBE) of a relaxed CoRu2 crystal.

Results
The calculation puts the total energy at -8.43 eV/atom. As for the density of states at the Fermi level: 3.9 states/eV/f.u. As for the symmetry: Cm. Its formation energy is 0.123 eV/atom.

Geometry as extended XYZ:
```
6
Lattice="4.775 -1.345 0.000 4.775 1.345 0.000 -1.412 0.000 6.043" Properties=species:S:1:pos:R:3 pbc="T T T"
Co 0.000 0.000 0.000
Co 5.910 0.000 2.006
Ru -0.310 0.000 3.663
Ru 2.258 0.000 4.045
Ru 3.329 0.000 1.641
Ru 5.536 0.000 5.728
```